1:
Computed, not measured: an optimized crystal structure of ZnGaIr2 at the PBE-GGA level of DFT.

Calculated values
Its density is 14.179 Mg/m³.

Lattice parameters (Å, degrees): 4.2468 4.2468 7.7914 90.00 90.00 120.00
Element x y z (fractional)
Zn  0.0000  0.0000  0.2500
Zn  0.0000  0.0000  0.7500
Ir  0.3333  0.6667  0.0820
Ir  0.6667  0.3333  0.9180
Ir  0.3333  0.6667  0.4180
Ir  0.6667  0.3333  0.5820
Ga  0.6667  0.3333  0.2500
Ga  0.3333  0.6667  0.7500



2:
Computed, not measured: an optimized crystal structure of ZnGaIr2 at the PBE-GGA level of DFT.

Calculated values
Its density is 15.369 Mg/m³.

Lattice parameters (Å, degrees): 4.2979 6.0800 12.8894 90.00 90.00 90.00
Element x y z (fractional)
Zn  0.9995  0.0000  0.3334
Zn  0.5000  0.5000  0.5000
Zn  0.4995  0.5000  0.1666
Zn  0.5005  0.5000  0.8334
Zn  0.0005  0.0000  0.6666
Zn  0.0000  0.0000  0.0000
Ir  0.0000  0.7500  0.5000
Ir  0.0003  0.2500  0.8333
Ir  0.5000  0.2500  0.0000
Ir  0.5000  0.7500  0.0000
Ir  0.0003  0.7500  0.8333
Ir  0.5003  0.2500  0.6667
Ir  0.9997  0.2500  0.1667
Ir  0.5003  0.7500  0.6667
Ir  0.4997  0.7500  0.3333
Ir  0.9997  0.7500  0.1667
Ir  0.0000  0.2500  0.5000
Ir  0.4997  0.2500  0.3333
Ga  0.5000  0.0000  0.5000
Ga  0.0002  0.5000  0.6667
Ga  0.4998  0.0000  0.1667
Ga  0.5002  0.0000  0.8333
Ga  0.9998  0.5000  0.3333
Ga  0.0000  0.5000  0.0000



Least stable of them? 1.



1:
Computed, not measured: an optimized crystal structure of Li2MgCd at the PBE-GGA level of DFT.

Calculated values
Its density is 3.061 Mg/m³.

Lattice parameters (Å, degrees): 5.3586 7.7080 7.9105 90.00 90.00 90.00
Element x y z (fractional)
Li  0.8960  0.5589  0.6842
Li  0.1040  0.4411  0.3158
Li  0.3960  0.0589  0.8158
Li  0.1040  0.0589  0.3158
Li  0.6040  0.5589  0.1842
Li  0.3960  0.4411  0.8158
Li  0.6040  0.9411  0.1842
Li  0.8960  0.9411  0.6842
Cd  0.1010  0.2500  0.6068
Cd  0.8990  0.7500  0.3932
Cd  0.6010  0.7500  0.8932
Cd  0.3990  0.2500  0.1068
Mg  0.6033  0.2500  0.4619
Mg  0.8967  0.2500  0.9619
Mg  0.1033  0.7500  0.0381
Mg  0.3967  0.7500  0.5381



2:
Computed, not measured: an optimized crystal structure of Li2MgCd at the PBE-GGA level of DFT.

Calculated values
Its density is 3.394 Mg/m³.

Lattice parameters (Å, degrees): 3.3547 3.3547 6.5481 90.00 90.00 90.00
Element x y z (fractional)
Cd  0.0000  0.0000  0.0000
Li  0.5000  0.5000  0.2332
Li  0.5000  0.5000  0.7668
Mg  0.0000  0.0000  0.5000



Least stable of them? 1.



1:
Computed, not measured: an optimized crystal structure of Cu5Ag4 at the PBE-GGA level of DFT.

Calculated values
Its density is 9.531 Mg/m³.

Lattice parameters (Å, degrees): 7.1609 7.1609 6.6923 91.97 91.97 22.37
Element x y z (fractional)
Cu  0.5000  0.5000  0.5000
Cu  0.9435  0.9435  0.1765
Cu  0.0565  0.0565  0.8235
Cu  0.7205  0.7205  0.8453
Cu  0.2795  0.2795  0.1547
Ag  0.6082  0.6082  0.1551
Ag  0.3918  0.3918  0.8449
Ag  0.8364  0.8364  0.4882
Ag  0.1636  0.1636  0.5118



2:
Computed, not measured: an optimized crystal structure of Cu5Ag4 at the PBE-GGA level of DFT.

Calculated values
Its density is 9.456 Mg/m³.

Lattice parameters (Å, degrees): 16.8645 16.8645 16.8645 170.47 170.47 13.50
Element x y z (fractional)
Cu  0.6705  0.6705  0.0000
Cu  0.3306  0.3306  0.0000
Cu  0.7840  0.7840  0.0000
Cu  0.9918  0.9918  0.0000
Cu  0.4454  0.4454  0.0000
Ag  0.5483  0.5483  0.0000
Ag  0.1141  0.1141  0.0000
Ag  0.8881  0.8881  0.0000
Ag  0.2271  0.2271  0.0000



Least stable of them? 1.



1:
Computed, not measured: an optimized crystal structure of RbScPt at the PBE-GGA level of DFT.

Calculated values
Its density is 6.753 Mg/m³.

Lattice parameters (Å, degrees): 4.8374 4.8374 4.8374 60.00 60.00 60.00
Element x y z (fractional)
Sc  0.7500  0.7500  0.7500
Rb  0.0000  0.0000  0.0000
Pt  0.2500  0.2500  0.2500



2:
Computed, not measured: an optimized crystal structure of RbScPt at the PBE-GGA level of DFT.

Calculated values
Its density is 6.405 Mg/m³.

Lattice parameters (Å, degrees): 4.9236 4.9236 4.9236 60.00 60.00 60.00
Element x y z (fractional)
Pt  0.0000  0.0000  0.0000
Rb  0.2500  0.2500  0.2500
Sc  0.7500  0.7500  0.7500



Least stable of them? 1.